First-principles (GGA-PBE) data for K2Na5HgPb2 after structural relaxation, as listed in Alexandria via LeMat-Bulk.

## Properties
**Energy of formation from the pure elements**: -0.1169 eV/atom
**M_tot**: 0.000 μB per cell
**Mass density**: 3.8 Mg/m³
**Space group**: P4/mbm, No. 127
**D(E_F)**: 0.4541 states/eV/atom

Lattice parameters (Å, degrees): 12.8963 12.8963 4.2928 90.00 90.00 90.00
Atoms (fractional coordinates):
K: 0.1669 0.3331 0.0000
K: 0.3331 0.8331 0.0000
K: 0.6669 0.1669 0.0000
K: 0.8331 0.6669 0.0000
Na: 0.0000 0.5000 0.5000
Na: 0.0631 0.8129 0.5000
Na: 0.1871 0.0631 0.5000
Na: 0.3129 0.5631 0.5000
Na: 0.4369 0.3129 0.5000
Na: 0.5000 0.0000 0.5000
Na: 0.5631 0.6871 0.5000
Na: 0.6871 0.4369 0.5000
Na: 0.8129 0.9369 0.5000
Na: 0.9369 0.1871 0.5000
Hg: 0.0000 0.0000 0.0000
Hg: 0.5000 0.5000 0.0000
Pb: 0.1333 0.6333 0.0000
Pb: 0.3667 0.1333 0.0000
Pb: 0.6333 0.8667 0.0000
Pb: 0.8667 0.3667 0.0000